Entry 1:
Density functional theory data (PBE-GGA) for crystalline PaIBrO6 at its relaxed geometry.

a b c (Å): 7.301 8.158 11.085
angles (deg): 90.00 90.00 90.00
Space group Imma (No. 74)
Inequivalent atoms, fractional coordinates:
Pa 0.000 0.000 0.000
I 0.250 0.250 0.250
Br 0.000 0.250 0.689
O 0.000 0.250 0.317
O 0.000 0.250 0.943
O 0.197 0.086 0.136

=====

Entry 2:
Density functional theory data (PBE-GGA) for crystalline Zn3TcSn at its relaxed geometry.

Excess energy over the best structure of this formula in the dataset   0 kJ/mol of formula units
Energy of formation from the pure elements   3.2 eV/f.u.

a b c (Å): 4.833 4.833 4.833
angles (deg): 90.00 90.00 90.00
Space group Pm-3m (No. 221)
Inequivalent atoms, fractional coordinates:
Zn 0.000 0.000 0.500
Tc 0.000 0.000 0.000
Sn 0.500 0.500 0.500

=====

Entry 3:
Density functional theory data (PBE-GGA) for crystalline SrLaGaSe2 at its relaxed geometry.

a b c (Å): 5.737 5.737 5.687
angles (deg): 90.00 90.00 90.00
Space group P4/mmm (No. 123)
Inequivalent atoms, fractional coordinates:
Sr 0.000 0.000 0.000
La 0.500 0.500 0.500
Ga 0.500 0.500 0.000
Se 0.000 0.500 0.500

=====

Entry 4:
Density functional theory data (PBE-GGA) for crystalline NaPr4Tl4 at its relaxed geometry.

Energy of formation from the pure elements   -1.7 eV/f.u.

a b c (Å): 9.298 9.298 6.342
angles (deg): 90.00 90.00 90.00
Space group P4_2/n (No. 86, origin choice 2)
Inequivalent atoms, fractional coordinates:
Na 0.250 0.250 0.250
Pr 0.078 0.824 0.611
Tl 0.051 0.154 0.882

=====

Entry 5:
Density functional theory data (PBE-GGA) for crystalline AcLa2HfO6 at its relaxed geometry.

a b c (Å): 5.625 5.625 5.742
angles (deg): 90.00 90.00 90.00
Space group P4mm (No. 99)
Inequivalent atoms, fractional coordinates:
Ac 0.000 0.000 0.000
La 0.000 0.500 0.458
Hf 0.500 0.500 0.066
O 0.000 0.000 0.590
O 0.266 0.266 0.221
O 0.500 0.500 0.723

=====

Entry 6:
Density functional theory data (PBE-GGA) for crystalline NaHf3Sn at its relaxed geometry.

Excess energy over the best structure of this formula in the dataset   88 kJ/mol of formula units
Energy of formation from the pure elements   6.6 eV/f.u.

a b c (Å): 4.939 4.939 4.939
angles (deg): 90.00 90.00 90.00
Space group Pm-3m (No. 221)
Inequivalent atoms, fractional coordinates:
Na 0.000 0.000 0.000
Hf 0.000 0.000 0.500
Sn 0.500 0.500 0.500

=====

Entry 7:
Density functional theory data (PBE-GGA) for crystalline CuPbI2 at its relaxed geometry.

Excess energy over the best structure of this formula in the dataset   0 kJ/mol of formula units

a b c (Å): 3.9438 3.9438 29.0314
angles (deg): 90.00 90.00 120.00
Space group R-3m (No. 166, hexagonal axes)
Inequivalent atoms, fractional coordinates:
Cu 0.0000 0.0000 0.0000
Pb 0.0000 0.0000 0.5000
I 0.0000 0.0000 0.3888

=====

Entry 8:
Density functional theory data (PBE-GGA) for crystalline Ce2Si4Pt3Rh at its relaxed geometry.

a b c (Å): 4.193 4.193 9.974
angles (deg): 90.00 90.00 90.00
Space group P-4m2 (No. 115)
Inequivalent atoms, fractional coordinates:
Ce 0.000 0.500 0.248
Si 0.000 0.000 0.000
Si 0.000 0.500 0.633
Si 0.500 0.500 0.000
Pt 0.000 0.500 0.876
Pt 0.500 0.500 0.500
Rh 0.000 0.000 0.500

=====

no.,calculated density (g/cm³),total DFT energy (no corrections) (eV per atom)
1,5.37,-6.008
2,6.08,-2.994
3,4.03,-4.093
4,8.50,-3.515
5,7.12,-8.542
6,9.33,-5.715
7,6.68,-2.779
8,10.24,-7.005